{"formula": "NaU3Te6", "functional": "PBE", "state": "relaxed", "volume_a3_per_atom": 37.89, "raw_formation_energy_ev_per_atom": -0.628, "crystal_system": "monoclinic", "magmom_total_mub_per_atom": 0.70, "lattice_angstrom": [[-1.790, -2.396, 3.185], [1.070, -10.176, -7.054], [12.252, 1.657, 8.131]], "species": ["Na", "Na", "U", "U", "U", "U", "U", "U", "Te", "Te", "Te", "Te", "Te", "Te", "Te", "Te", "Te", "Te", "Te", "Te"], "frac_coords": [[0.750, 0.674, 0.006], [0.250, 0.326, 0.994], [0.750, 0.334, 0.472], [0.250, 0.666, 0.528], [0.750, 0.705, 0.282], [0.250, 0.295, 0.718], [0.750, 0.970, 0.867], [0.250, 0.030, 0.133], [0.750, 0.166, 0.579], [0.250, 0.834, 0.421], [0.750, 0.162, 0.065], [0.250, 0.838, 0.935], [0.750, 0.784, 0.669], [0.250, 0.216, 0.331], [0.750, 0.528, 0.386], [0.250, 0.472, 0.614], [0.750, 0.416, 0.859], [0.250, 0.584, 0.141], [0.750, 0.905, 0.202], [0.250, 0.095, 0.798]]}